No. 1
TcSb2P: optimized geometry, PBEsol.

The structure in extended XYZ format:
```
4
Lattice="-2.8094 0.2156 -1.8206 1.0070 -3.8040 -2.0042 -2.5399 -2.5766 3.6142" Properties=species:S:1:pos:R:3 pbc="T T T"
P -0.7665 -3.1903 0.8050
Sb 0.0000 0.0000 0.0000
Sb -2.6747 -1.1805 0.8968
Tc -0.9012 -1.7942 -1.9124
```

The calculation puts the density at 8.16 g/cm3. The total magnetization comes out at 0.0 Bohr magnetons per cell. As for the formation energy from raw total energies: 641 meV/atom. The crystal system is orthorhombic. The space group is Pmmm, No. 47. The value obtained for the density of states at the Fermi level is 0.787 states/eV per atom.

=====

No. 2
Tc2SbP: optimized geometry, PBEsol.

The structure in extended XYZ format:
```
8
Lattice="5.6618 0.0000 0.0000 0.0000 5.6618 0.0000 -2.8309 -2.8309 5.2482" Properties=species:S:1:pos:R:3 pbc="T T T"
Sb 0.0000 2.8309 2.6241
Sb 0.0000 0.0000 0.0000
Tc 1.6990 4.2464 1.3121
Tc 3.9628 1.4155 1.3121
Tc -1.4155 -1.1319 3.9362
Tc 1.4155 1.1319 3.9362
P 2.8309 0.0000 2.6241
P 2.8309 2.8309 0.0000
```

The calculation puts the density at 6.88 g/cm3. The total magnetization comes out at 0.0 Bohr magnetons per cell. As for the formation energy from raw total energies: 505 meV/atom. The crystal system is tetragonal. The space group is I-42d, No. 122. The value obtained for the density of states at the Fermi level is 1.260 states/eV per atom.

=====

Question: Which formula does entry 1 have?
Answer: TcSb2P